First-principles (PBE with a Hubbard U) data for a geometry-optimized Ba2Ni3HgF12 structure, as listed in the Alexandria database.

Properties
Total energy ... -80.4 eV per cell
Fermi-level density of states ... 0.00 states/eV/cell
SG ... R-3m, No. 166
M_tot ... 6.0 μB per cell

Unit cell a=7.1130 b=7.1130 c=7.1130 alpha=61.54 beta=61.54 gamma=61.54
Last column: nearest neighbours and their distance in Å.
Fractional coordinates of all 18 atoms:
Hg: 0.0000 0.0000 0.0000  6 F 2.47
F: 0.7150 0.7150 0.1337  2 Ni 1.99
F: 0.7150 0.1337 0.7150  2 Ni 1.99
Ni: 0.5000 0.0000 0.0000  6 F 1.99-2.05
Ba: 0.3888 0.3888 0.3888  6 F 2.59-2.89
F: 0.1362 0.5834 0.1362  1 Ni 2.05
F: 0.8638 0.4166 0.8638  1 Ni 2.05
F: 0.8638 0.8638 0.4166  1 Ni 2.05
F: 0.2850 0.8663 0.2850  2 Ni 1.99
F: 0.8663 0.2850 0.2850  2 Ni 1.99
F: 0.1362 0.1362 0.5834  1 Ni 2.05
Ni: 0.0000 0.5000 0.0000  6 F 1.99-2.05
F: 0.5834 0.1362 0.1362  1 Ni 2.05
Ba: 0.6112 0.6112 0.6112  6 F 2.59-2.89
F: 0.4166 0.8638 0.8638  1 Ni 2.05
F: 0.2850 0.2850 0.8663  2 Ni 1.99
F: 0.1337 0.7150 0.7150  2 Ni 1.99
Ni: 0.0000 0.0000 0.5000  6 F 1.99-2.05